<P>
A plane-wave DFT calculation with PBE-GGA was carried out for an optimized crystal structure of CdPt2O.

Values from the calculation:
space group: I-42d (122)

abc: 5.039 5.039 7.196
angles: 69.50 69.50 90.00
Positions (direct):
O 0.500 0.500 0.000
O 0.250 0.750 0.500
Pt 0.437 0.125 0.250
Pt 0.313 0.625 0.250
Pt 0.375 0.563 0.750
Pt 0.875 0.687 0.750
Cd 0.000 0.000 0.000
Cd 0.750 0.250 0.500

<Q>
A plane-wave DFT calculation with PBE-GGA was carried out for an optimized crystal structure of CdPt2O.

Values from the calculation:
space group: Fm-3m (225)

abc: 4.436 4.436 4.436
angles: 60.00 60.00 60.00
Positions (direct):
O 0.000 0.000 0.000
Pt 0.250 0.250 0.250
Pt 0.750 0.750 0.750
Cd 0.500 0.500 0.500

It turns out <P> is the most stable, with the second structure 47.4 kJ/mol of atoms higher.